(1)
Below is an optimized crystal structure of LiIrSe2, with properties calculated at the PBE level.

## Properties
The calculation puts the calculated total energy at -4.583 eV/atom. As for the space group: Cmmm. The formation energy without anion corrections is -0.147 eV/atom. The size of the total moment is 0.00 μB/f.u.

Lattice parameters (Å, degrees): 6.529 6.570 3.011 90.00 90.00 90.00
Fractional coordinates of all 8 atoms:
Li 0.000 0.000 0.000
Li 0.500 0.500 0.000
Ir 0.000 0.500 0.000
Ir 0.500 0.000 0.000
Se 0.250 0.250 0.500
Se 0.250 0.750 0.500
Se 0.750 0.250 0.500
Se 0.750 0.750 0.500

=====

(2)
Below is an optimized crystal structure of Li3IrSe, with properties calculated at the PBE level.

## Properties
The calculation puts the calculated total energy at -3.272 eV/atom. As for the space group: Pm-3m. The formation energy without anion corrections is 0.346 eV/atom. The size of the total moment is 1.97 μB/f.u. The value obtained for the distance to the lowest polymorph of the same formula is 0.77 eV per formula unit.

Lattice parameters (Å, degrees): 4.715 4.715 4.715 90.00 90.00 90.00
Fractional coordinates of all 5 atoms:
Li 0.000 0.000 0.500
Li 0.000 0.500 0.000
Li 0.500 0.000 0.000
Ir 0.000 0.000 0.000
Se 0.500 0.500 0.500